KHg3P | PBE | optimized geometry Values from VASP.

Cell and atoms, written as Quantum ESPRESSO input:
```
&SYSTEM
  ibrav = 0, nat = 5, ntyp = 3
/
ATOMIC_SPECIES
P 30.97 P.upf
Hg 200.59 Hg.upf
K 39.10 K.upf
CELL_PARAMETERS angstrom
4.438 0.000 0.000
-2.194 5.698 -0.001
-2.180 -1.474 6.371
ATOMIC_POSITIONS angstrom
P 1.272 1.747 2.572
Hg 1.263 1.806 0.022
K -0.942 4.199 1.906
Hg -0.892 3.888 5.550
Hg -0.950 1.136 3.701
```

Summary:
Calculated volume = 32.2 A^3/atom
Electronic total energy = -1.57 eV/atom
M_tot = 0.0 μB per formula unit
Distance to the lowest polymorph of the same formula = 55 meV per atom

Rb3TlAu2 | PBE | optimized geometry Values from VASP.

Cell and atoms, written as Quantum ESPRESSO input:
```
&SYSTEM
  ibrav = 0, nat = 12, ntyp = 3
/
ATOMIC_SPECIES
Rb 85.47 Rb.upf
Au 196.97 Au.upf
Tl 204.38 Tl.upf
CELL_PARAMETERS angstrom
-6.773 -3.881 -1.198
1.767 -4.883 5.833
-3.760 5.181 4.474
ATOMIC_POSITIONS angstrom
Rb -0.310 -5.154 5.439
Au -1.418 0.212 7.336
Rb -4.295 -5.369 2.631
Tl -6.416 -2.143 4.172
Tl -2.350 -1.440 4.938
Rb -8.455 1.571 3.671
Au -4.805 -1.729 6.737
Rb -4.470 1.785 6.479
Rb -3.709 1.671 2.541
Rb -5.057 -5.255 6.568
Au -0.574 0.086 2.971
Au -3.961 -1.855 2.373
```

Summary:
Calculated volume = 40.0 A^3/atom
Electronic total energy = -2.12 eV/atom
M_tot = 0.0 μB per formula unit
Distance to the lowest polymorph of the same formula = 30 meV per atom

TeRhBr2 | PBE | optimized geometry Values from VASP.

Cell and atoms, written as Quantum ESPRESSO input:
```
&SYSTEM
  ibrav = 0, nat = 4, ntyp = 3
/
ATOMIC_SPECIES
Te 127.60 Te.upf
Br 79.90 Br.upf
Rh 102.91 Rh.upf
CELL_PARAMETERS angstrom
-1.916 -1.457 -2.302
0.468 -2.948 1.477
-7.413 1.453 5.251
ATOMIC_POSITIONS angstrom
Te -5.766 -1.214 3.159
Br -3.224 -1.713 1.358
Rh -3.925 0.770 2.780
Br -7.066 1.385 5.005
```

Summary:
Calculated volume = 25.5 A^3/atom
Electronic total energy = -3.42 eV/atom
M_tot = 0.0 μB per formula unit
Energy relative to the elements, uncorrected = 0.039 eV/atom

Pr3Mg9Ag2 | PBE | optimized geometry Values from VASP.

Cell and atoms, written as Quantum ESPRESSO input:
```
&SYSTEM
  ibrav = 0, nat = 14, ntyp = 3
/
ATOMIC_SPECIES
Mg 24.30 Mg.upf
Pr 140.91 Pr.upf
Ag 107.87 Ag.upf
CELL_PARAMETERS angstrom
-4.825 0.752 -0.947
-3.900 -7.883 0.545
-3.969 0.837 7.823
ATOMIC_POSITIONS angstrom
Mg -9.185 -1.888 6.102
Pr -6.991 -4.795 5.680
Mg -2.814 -1.845 -0.195
Mg -3.540 -0.542 4.543
Mg -3.510 -4.405 1.319
Ag -6.336 -4.569 2.524
Mg -9.881 -4.448 7.616
Ag -6.358 -1.724 4.898
Mg -9.862 -6.789 5.663
Pr 0.000 0.000 0.000
Mg -3.935 -3.523 4.184
Mg -9.154 -5.751 2.879
Mg -2.832 0.496 1.758
Pr -5.704 -1.498 1.741
```

Summary:
Calculated volume = 25.3 A^3/atom
Electronic total energy = -2.56 eV/atom
M_tot = 0.0 μB per formula unit

CsNa2P | PBE | optimized geometry Values from VASP.

Cell and atoms, written as Quantum ESPRESSO input:
```
&SYSTEM
  ibrav = 0, nat = 8, ntyp = 3
/
ATOMIC_SPECIES
P 30.97 P.upf
Na 22.99 Na.upf
Cs 132.91 Cs.upf
CELL_PARAMETERS angstrom
6.286 0.000 0.000
0.000 6.286 0.000
3.143 3.143 8.755
ATOMIC_POSITIONS angstrom
P 3.143 6.286 4.378
P 3.143 3.143 0.000
Na 4.715 6.276 6.567
Cs 6.286 3.143 4.378
Cs 0.000 0.000 0.000
Na 7.858 6.297 6.567
Na 3.154 1.572 2.189
Na 3.132 4.715 2.189
```

Summary:
Calculated volume = 43.2 A^3/atom
Electronic total energy = -2.33 eV/atom
M_tot = 0.0 μB per formula unit

CsY2Au2O6 | PBE | optimized geometry Values from VASP.

Cell and atoms, written as Quantum ESPRESSO input:
```
&SYSTEM
  ibrav = 0, nat = 11, ntyp = 4
/
ATOMIC_SPECIES
O 16.00 O.upf
Cs 132.91 Cs.upf
Au 196.97 Au.upf
Y 88.91 Y.upf
CELL_PARAMETERS angstrom
6.310 0.442 -0.383
3.615 6.333 -0.600
-0.633 -3.829 5.803
ATOMIC_POSITIONS angstrom
O 5.204 2.241 0.108
O 5.974 -0.305 1.932
Cs 2.838 -1.694 2.710
Au 6.811 1.393 1.229
Au 2.481 1.553 3.591
Y 5.888 -0.619 4.210
Y 3.404 3.565 0.610
O 3.317 3.252 2.887
O 4.087 0.706 4.712
O 7.825 2.825 0.236
O 1.466 0.122 4.584
```

Summary:
Calculated volume = 19.3 A^3/atom
Electronic total energy = -6.19 eV/atom
M_tot = 0.9 μB per formula unit
Energy relative to the elements, uncorrected = -1.634 eV/atom

Please write out number 6 again, unchanged.
CsY2Au2O6 | PBE | optimized geometry Values from VASP.

Cell and atoms, written as Quantum ESPRESSO input:
```
&SYSTEM
  ibrav = 0, nat = 11, ntyp = 4
/
ATOMIC_SPECIES
O 16.00 O.upf
Cs 132.91 Cs.upf
Au 196.97 Au.upf
Y 88.91 Y.upf
CELL_PARAMETERS angstrom
6.310 0.442 -0.383
3.615 6.333 -0.600
-0.633 -3.829 5.803
ATOMIC_POSITIONS angstrom
O 5.204 2.241 0.108
O 5.974 -0.305 1.932
Cs 2.838 -1.694 2.710
Au 6.811 1.393 1.229
Au 2.481 1.553 3.591
Y 5.888 -0.619 4.210
Y 3.404 3.565 0.610
O 3.317 3.252 2.887
O 4.087 0.706 4.712
O 7.825 2.825 0.236
O 1.466 0.122 4.584
```

Summary:
Calculated volume = 19.3 A^3/atom
Electronic total energy = -6.19 eV/atom
M_tot = 0.9 μB per formula unit
Energy relative to the elements, uncorrected = -1.634 eV/atom

- Which formula does entry 6 have?
  CsY2Au2O6

- What is the calculated volume in the fifth record?
  43.2 A^3/atom